Material: V2ClO
Method: DFT, GGA+U
State: optimized geometry

The space group is I-42d (No. 122) and the conventional cell measures 5.498, 5.498 and 10.184 Å, with angles of 90.00, 90.00 and 90.00 degrees. Symmetry generates all atoms from V at (0.148, 0.250, 0.125), Cl at (0.000, 0.000, 0.500) and O at (0.000, 0.000, 0.000).

The value obtained for the offset from the most stable computed form is 0 meV per atom.